First-principles (PBE) data for ZnHg2Rh after structural relaxation, as listed in Alexandria.

- space-group type = No. 139
- magnetization (μB/atom) = 0.000
- ρ (g cm⁻³) = 13.2
- electronic total energy (eV per formula unit) = -8.8

Cell: 4.0279 4.0279 8.8306 Å, 90.00 90.00 90.00°
Closest atoms and distances in Å follow each position.
Fractional positions:
Zn: 0.0000 0.0000 0.0000  4 Rh 2.85, 8 Hg 2.99
Zn: 0.5000 0.5000 0.5000  4 Rh 2.85, 8 Hg 2.99
Hg: 0.0000 0.5000 0.2500  4 Hg 2.85, 4 Rh 2.99, 4 Zn 2.99
Hg: 0.0000 0.5000 0.7500  4 Hg 2.85, 4 Rh 2.99, 4 Zn 2.99
Hg: 0.5000 0.0000 0.2500  4 Hg 2.85, 4 Rh 2.99, 4 Zn 2.99
Hg: 0.5000 0.0000 0.7500  4 Hg 2.85, 4 Rh 2.99, 4 Zn 2.99
Rh: 0.0000 0.0000 0.5000  4 Zn 2.85, 8 Hg 2.99
Rh: 0.5000 0.5000 0.0000  4 Zn 2.85, 8 Hg 2.99


First-principles (PBE) data for Tl2Bi2Sb after structural relaxation, as listed in Alexandria.

- space-group type = No. 139
- magnetization (μB/atom) = 0.000
- ρ (g cm⁻³) = 9.5
- relative energy among the computed polymorphs (meV per atom) = 118
- electronic total energy (eV per formula unit) = -15.6

Cell: 4.3206 4.3206 17.6911 Å, 90.00 90.00 90.00°
Closest atoms and distances in Å follow each position.
Fractional positions:
Tl: 0.0000 0.5000 0.2500  4 Tl 3.06
Tl: 0.0000 0.5000 0.7500  4 Tl 3.06
Tl: 0.5000 0.0000 0.2500  4 Tl 3.06
Tl: 0.5000 0.0000 0.7500  4 Tl 3.06
Bi: 0.0000 0.0000 0.0883  1 Bi 3.12, 4 Sb 3.43
Bi: 0.0000 0.0000 0.9117  1 Bi 3.12, 4 Sb 3.43
Bi: 0.5000 0.5000 0.4117  1 Bi 3.12, 4 Sb 3.43
Bi: 0.5000 0.5000 0.5883  1 Bi 3.12, 4 Sb 3.43
Sb: 0.0000 0.0000 0.5000  8 Bi 3.43
Sb: 0.5000 0.5000 0.0000  8 Bi 3.43


First-principles (PBE) data for CeAl4Hg after structural relaxation, as listed in Alexandria.

- space-group type = No. 216
- magnetization (μB/atom) = 0.191
- ρ (g cm⁻³) = 6.0
- electronic total energy (eV per formula unit) = -21.9

Cell: 5.6011 5.6011 5.6011 Å, 60.00 60.00 60.00°
Closest atoms and distances in Å follow each position.
Fractional positions:
Ce: 0.0000 0.0000 0.0000  12 Al 3.28, 4 Hg 3.43
Al: 0.1227 0.6258 0.6258  6 Al 2.78-2.82
Al: 0.6258 0.1227 0.6258  6 Al 2.78-2.82
Al: 0.6258 0.6258 0.1227  6 Al 2.78-2.82
Al: 0.6258 0.6258 0.6258  6 Al 2.78-2.82
Hg: 0.2500 0.2500 0.2500  12 Al 3.29, 4 Ce 3.43